[1]
This record from the Alexandria database describes crystalline Ba3Ga2Au2 at its relaxed geometry. The functional is PBE-GGA.

For the formation energy from the elements, the calculation gives -4.03 eV/f.u.

Geometry as POSCAR:
```
Ba3Ga2Au2
1.0
-2.3651 2.4737 9.7609
2.3651 -2.4737 9.7609
2.3651 2.4737 -9.7609
Ba Ga Au
3 2 2
direct
0.0000 0.0000 0.0000
0.1834 0.6834 0.5000
0.8166 0.3166 0.5000
0.4351 0.4351 0.0000
0.5649 0.5649 0.0000
0.3662 0.8662 0.5000
0.6338 0.1338 0.5000
```


[2]
This record from the Alexandria database describes crystalline Ca2Si3Au9 at its relaxed geometry. The functional is PBE-GGA.

The energy is -3.905 eV per atom.

Geometry as POSCAR:
```
Ca2Si3Au9
1.0
6.9067 -4.0021 0.0000
6.9067 4.0021 0.0000
-4.5260 0.0000 9.5323
Ca Si Au
4 6 18
direct
0.0872 0.2510 0.2474
0.2510 0.0872 0.7474
0.7490 0.9128 0.2526
0.9128 0.7490 0.7526
0.0000 0.5000 0.0000
0.1410 0.6818 0.5035
0.3182 0.8590 0.9965
0.5000 0.0000 0.5000
0.6818 0.1410 0.0035
0.8590 0.3182 0.4965
0.0166 0.8640 0.0775
0.1360 0.9834 0.4225
0.1905 0.3583 0.5686
0.1917 0.5789 0.2607
0.2938 0.4868 0.9317
0.3465 0.6535 0.7500
0.3583 0.1905 0.0686
0.4211 0.8083 0.2393
0.4868 0.2938 0.4317
0.5132 0.7062 0.5683
0.5789 0.1917 0.7607
0.6417 0.8095 0.9314
0.6535 0.3465 0.2500
0.7062 0.5132 0.0683
0.8083 0.4211 0.7393
0.8095 0.6417 0.4314
0.8640 0.0166 0.5775
0.9834 0.1360 0.9225
```


[3]
This record from the Alexandria database describes crystalline PuUSbTe at its relaxed geometry. The functional is PBE-GGA.

The energy is -8.799 eV per atom.

Geometry as POSCAR:
```
PuUSbTe
1.0
0.0000 3.7493 3.7493
3.7493 0.0000 3.7493
3.7493 3.7493 0.0000
Pu U Sb Te
1 1 1 1
direct
0.0000 0.0000 0.0000
0.5000 0.5000 0.5000
0.2500 0.2500 0.2500
0.7500 0.7500 0.7500
```


[4]
This record from the Alexandria database describes crystalline Mg3CdCl at its relaxed geometry. The functional is PBE-GGA.

The polymorph energy (0 for the lowest one) is 0.52 eV/f.u.

Geometry as POSCAR:
```
Mg3CdCl
1.0
5.0147 0.0000 0.0000
0.0000 5.0147 0.0000
0.0000 0.0000 5.0147
Mg Cd Cl
3 1 1
direct
0.0000 0.0000 0.5000
0.0000 0.5000 0.0000
0.5000 0.0000 0.0000
0.5000 0.5000 0.5000
0.0000 0.0000 0.0000
```


[5]
This record from the Alexandria database describes crystalline GaFeSiSe2 at its relaxed geometry. The functional is PBE-GGA.

The energy is -4.078 eV per atom.

Geometry as POSCAR:
```
GaFeSiSe2
1.0
4.7951 0.0000 0.0000
0.0000 4.7951 0.0000
0.0000 0.0000 4.4932
Ga Fe Si Se
1 1 1 2
direct
0.0000 0.0000 0.0000
0.5000 0.5000 0.0000
0.0000 0.0000 0.5000
0.0000 0.5000 0.5000
0.5000 0.0000 0.5000
```


[6]
This record from the Alexandria database describes crystalline LiPmNd2Hg4 at its relaxed geometry. The functional is PBE-GGA.

For the formation energy from the elements, the calculation gives -3.58 eV/f.u.

Geometry as POSCAR:
```
LiPmNd2Hg4
1.0
2.6288 1.5177 8.8239
-2.6288 1.5177 8.8239
0.0000 -3.0355 8.8239
Li Pm Nd Hg
1 1 2 4
direct
0.0000 0.0000 0.0000
0.5000 0.5000 0.5000
0.2556 0.2556 0.2556
0.7444 0.7444 0.7444
0.1227 0.1227 0.1227
0.3738 0.3738 0.3738
0.6262 0.6262 0.6262
0.8773 0.8773 0.8773
```


[7]
This record from the Alexandria database describes crystalline Be2PbN2 at its relaxed geometry. The functional is PBE-GGA.

The polymorph energy (0 for the lowest one) is 0.00 eV/f.u.

Geometry as POSCAR:
```
Be2PbN2
1.0
-1.5695 1.5695 5.3785
1.5695 -1.5695 5.3785
1.5695 1.5695 -5.3785
Be Pb N
2 1 2
direct
0.2500 0.7500 0.5000
0.7500 0.2500 0.5000
0.0000 0.0000 0.0000
0.3273 0.3273 0.0000
0.6727 0.6727 0.0000
```


[8]
This record from the Alexandria database describes crystalline Ca2AlAu at its relaxed geometry. The functional is PBE-GGA.

For the formation energy from the elements, the calculation gives -2.04 eV/f.u.

Geometry as POSCAR:
```
Ca2AlAu
1.0
5.9522 0.0000 0.0000
0.0000 4.4906 0.0000
-2.7598 0.0000 8.0981
Ca Al Au
4 2 2
direct
0.2103 0.2500 0.4242
0.2701 0.7500 0.0708
0.7299 0.2500 0.9292
0.7897 0.7500 0.5758
0.3514 0.7500 0.7215
0.6486 0.2500 0.2785
0.1687 0.2500 0.7818
0.8313 0.7500 0.2182
```